(1)
! LiYZr (PBE-GGA, optimized geometry); values from VASP
&SYSTEM
  ibrav = 0, nat = 6, ntyp = 3
/
ATOMIC_SPECIES
Y 88.91 Y.upf
Li 6.94 Li.upf
Zr 91.22 Zr.upf
ATOMIC_POSITIONS crystal
Y 0.6970 0.5000 0.1409
Li 0.4894 0.0000 0.6793
Zr 0.1093 0.0000 0.1673
Y 0.3310 0.5000 0.1934
Li 0.8276 0.0000 0.6426
Zr 0.0147 0.5000 0.6649
CELL_PARAMETERS angstrom
-4.6710 4.2518 6.8591
-4.3359 -1.1887 -2.2158
-0.0446 -2.8237 1.6021
! * energy above the most stable polymorph in this dataset: 0.409 eV per formula unit
! * DFT total energy: -5.438 eV/atom
! * DOS at the Fermi energy: 5.99 states/eV per cell
! * formation enthalpy at 0 K: 204 meV/atom

---

(2)
! Rb3Tl2Bi3 (PBE-GGA, optimized geometry); values from VASP
&SYSTEM
  ibrav = 0, nat = 16, ntyp = 3
/
ATOMIC_SPECIES
Bi 208.98 Bi.upf
Rb 85.47 Rb.upf
Tl 204.38 Tl.upf
ATOMIC_POSITIONS crystal
Bi 0.9292 0.8585 0.3879
Rb 0.3713 0.7426 0.5457
Bi 0.0708 0.1415 0.6121
Bi 0.9292 0.8585 0.1121
Rb 0.6287 0.2574 0.0457
Tl 0.7213 0.4425 0.6394
Rb 0.3713 0.7426 0.9543
Rb 0.5428 0.0856 0.2500
Bi 0.8254 0.6507 0.2500
Tl 0.2787 0.5575 0.1394
Rb 0.4572 0.9144 0.7500
Bi 0.0708 0.1415 0.8879
Tl 0.7213 0.4425 0.8606
Tl 0.2787 0.5575 0.3606
Rb 0.6287 0.2574 0.4543
Bi 0.1746 0.3493 0.7500
CELL_PARAMETERS angstrom
-3.6191 -3.4145 0.5575
5.3177 -2.7039 -4.5221
9.4780 -7.4945 15.6267
! * DFT total energy: -2.657 eV/atom
! * DOS at the Fermi energy: 2.98 states/eV per cell
! * formation enthalpy at 0 K: -248 meV/atom